Record 1
KScW2 | Alexandria | GGA-PBEsol | optimized geometry; polymorph energy (0 for the lowest one) = 0 meV per atom; formation energy = 729 meV/atom
1.0
1.608 -2.414 0.000
1.608 2.414 0.000
0.000 0.000 10.901
K Sc W
1 1 2
Cartesian
0.000 0.000 0.000
1.608 0.000 7.373
0.000 0.000 5.055
1.608 0.000 3.059



Record 2
IrAu | Alexandria | GGA-PBEsol | optimized geometry; polymorph energy (0 for the lowest one) = 0 meV per atom; formation energy = 429 meV/atom
1.0
-1.384 2.370 4.795
1.384 -2.370 4.795
1.384 2.370 -4.795
Ir Au
2 2
Cartesian
0.000 1.185 1.320
1.384 1.185 3.476
1.384 1.185 -1.127
0.000 1.185 5.922



Record 3
KTlSbTe2 | Alexandria | GGA-PBEsol | optimized geometry; raw formation energy = 0.9 eV per formula unit
1.0
5.887 0.000 0.000
0.000 5.887 0.000
0.000 0.000 5.573
K Tl Sb Te
1 1 1 2
Cartesian
0.000 0.000 0.000
2.944 2.944 2.787
2.944 2.944 0.000
0.000 2.944 2.787
2.944 0.000 2.787



Record 4
HoBi2BrO4 | Alexandria | GGA-PBEsol | optimized geometry; raw formation energy = -16.4 eV per formula unit
1.0
3.855 0.000 0.000
0.000 3.855 0.000
0.000 0.000 9.072
Ho Bi Br O
1 2 1 4
Cartesian
0.000 0.000 0.000
1.928 1.928 2.475
1.928 1.928 6.596
0.000 0.000 4.536
0.000 1.928 1.351
0.000 1.928 7.720
1.928 0.000 1.351
1.928 0.000 7.720



Record 5
ScZnCu | Alexandria | GGA-PBEsol | optimized geometry; formation energy = -290 meV/atom
1.0
4.235 0.000 0.000
-2.118 3.668 0.000
0.000 0.000 3.049
Sc Zn Cu
1 1 1
Cartesian
0.000 0.000 0.000
0.000 2.445 1.524
2.118 1.223 1.524



Record 6
GaTcCS2 | Alexandria | GGA-PBEsol | optimized geometry; raw formation energy = 7.5 eV per formula unit
1.0
4.688 0.000 0.000
0.000 4.688 0.000
0.000 0.000 3.672
Ga Tc C S
1 1 1 2
Cartesian
0.000 0.000 0.000
2.344 2.344 1.836
0.000 0.000 1.836
0.000 2.344 0.000
2.344 0.000 0.000



Record 7
TlMoP2 | Alexandria | GGA-PBEsol | optimized geometry; polymorph energy (0 for the lowest one) = 616 meV per atom; formation energy = 742 meV/atom
1.0
3.319 0.000 0.000
0.000 4.273 0.000
0.000 0.000 4.712
Tl Mo P
1 1 2
Cartesian
0.000 0.000 0.000
1.660 0.000 2.356
0.000 2.137 2.356
1.660 2.137 0.000



Record 8
BaHg2Se | Alexandria | GGA-PBEsol | optimized geometry; raw formation energy = -3.2 eV per formula unit
1.0
-2.728 2.728 3.854
2.728 -2.728 3.854
2.728 2.728 -3.854
Ba Hg Se
1 2 1
Cartesian
0.000 0.000 0.000
2.728 0.000 1.927
0.000 0.000 3.854
0.000 2.728 1.927



Record 9
FeSO4 | Alexandria | GGA-PBEsol | optimized geometry; raw formation energy = -7.4 eV per formula unit
1.0
2.690 -4.004 0.000
2.690 4.004 0.000
0.000 0.000 6.138
Fe S O
2 2 8
Cartesian
0.000 0.000 0.000
0.000 0.000 3.069
2.690 1.199 4.603
2.690 -1.199 1.534
1.473 0.311 4.603
2.690 2.012 3.379
2.690 2.012 5.827
1.473 -0.311 1.534
3.908 0.311 4.603
2.690 -2.012 0.310
2.690 -2.012 2.758
3.908 -0.311 1.534



Record 10
Ba2AlC | Alexandria | GGA-PBEsol | optimized geometry; formation energy = 958 meV/atom
1.0
0.000 3.810 3.810
3.810 0.000 3.810
3.810 3.810 0.000
Ba Al C
2 1 1
Cartesian
1.905 1.905 1.905
5.715 5.715 5.715
0.000 0.000 0.000
3.810 3.810 3.810



Record 11
AsIr2Os | Alexandria | GGA-PBEsol | optimized geometry; formation energy = 219 meV/atom
1.0
3.930 0.000 0.000
0.000 1.413 5.173
0.000 -1.413 5.173
As Ir Os
1 2 1
Cartesian
0.000 0.000 0.000
0.000 0.000 7.869
1.965 0.000 4.159
1.965 0.000 1.503



Record 12
Hg2Te | Alexandria | GGA-PBEsol | optimized geometry; raw formation energy = 0.2 eV per formula unit; polymorph energy (0 for the lowest one) = 62 meV per atom
1.0
-1.508 1.508 9.064
1.508 -1.508 9.064
1.508 1.508 -9.064
Hg Te
2 1
Cartesian
0.000 0.000 3.143
0.000 0.000 14.985
0.000 0.000 9.064



Record order is preserved below.
Total moment: 0.00 0.00 0.01 0.00 0.00 2.01 0.00 0.00 8.00 0.00 0.00 0.00 μB per cell
Record order is preserved below.
Calculated total energy: -8.109 -6.445 -2.889 -6.595 -4.463 -5.100 -5.753 -2.575 -6.953 -3.550 -9.023 -1.499 eV per atom